1.
DFT (PBE-GGA) results for a geometry-optimized Li2BeRh structure.

Output
Space group ... Pm, No. 6
Total magnetization ... 0.00 μB/f.u.

Unit cell a=2.9602 b=2.9885 c=6.9992 alpha=64.49 beta=90.00 gamma=90.00
Fractional positions:
Be: 0.5000 0.8134 0.6852
Li: 0.5000 0.2040 0.2978
Li: 0.0000 0.0407 0.9597
Rh: 0.0000 0.4419 0.5573

2.
DFT (PBE-GGA) results for a geometry-optimized GeMoOs3 structure.

Output
Space group ... Pm-3m, No. 221
Total magnetization ... 0.00 μB/f.u.
ΔE to the lowest computed polymorph ... 0.445 eV/atom

Unit cell a=4.7140 b=4.7140 c=4.7140 alpha=90.00 beta=90.00 gamma=90.00
Fractional positions:
Os: 0.5000 0.0000 0.0000
Os: 0.0000 0.0000 0.5000
Os: 0.0000 0.5000 0.0000
Mo: 0.0000 0.0000 0.0000
Ge: 0.5000 0.5000 0.5000

DFT formation energy: -1.0, 11.0 (eV/f.u.)